[1]
Here is a relaxed structure of HfZrBeBi2 from the Alexandria database. Energies are from GGA-PBE.

Output
- energy relative to the elements (meV/atom) = 880
- symmetry = P4/mmm
- electronic total energy (eV/cell) = -25.6
- crystal system = tetragonal

a = 5.553 Å, b = 4.578 Å, c = 5.553 Å
α = 90.00°, β = 90.00°, γ = 90.00°
Fractional coordinates of all 5 atoms:
Hf: 0.000 0.000 0.000
Bi: 0.500 0.000 0.000
Be: 0.000 0.500 0.000
Bi: 0.000 0.000 0.500
Zr: 0.500 0.500 0.500

=====

[2]
Here is a relaxed structure of BeHgBi3 from the Alexandria database. Energies are from GGA-PBE.

Output
- energy relative to the elements (meV/atom) = 459
- symmetry = Pm-3m
- relative energy among the computed polymorphs (meV per atom) = 0
- electronic total energy (eV/cell) = -13.4
- crystal system = cubic

a = 5.195 Å, b = 5.195 Å, c = 5.195 Å
α = 90.00°, β = 90.00°, γ = 90.00°
Fractional coordinates of all 5 atoms:
Be: 0.000 0.000 0.000
Hg: 0.500 0.500 0.500
Bi: 0.500 0.000 0.000
Bi: 0.000 0.500 0.000
Bi: 0.000 0.000 0.500

=====

[3]
Here is a relaxed structure of BeHgBi3 from the Alexandria database. Energies are from GGA-PBE.

Output
- energy relative to the elements (meV/atom) = 1239
- symmetry = Pm-3m
- relative energy among the computed polymorphs (meV per atom) = 780
- electronic total energy (eV/cell) = -9.5
- crystal system = cubic

a = 5.724 Å, b = 5.724 Å, c = 5.724 Å
α = 90.00°, β = 90.00°, γ = 90.00°
Fractional coordinates of all 5 atoms:
Bi: 0.500 0.000 0.000
Bi: 0.000 0.500 0.000
Be: 0.500 0.500 0.500
Bi: 0.000 0.000 0.500
Hg: 0.000 0.000 0.000

=====

| no. | N(E_F) (states/eV per cell) |
| --- | --- |
| 1 | 4.10 |
| 2 | 5.30 |
| 3 | 5.06 |